# 1
Tb2Sm6Er3Tl: relaxed, GGA-PBE.

Cell lengths 6.158, 6.158, 11.740 Å; angles 95.04, 95.04, 120.09 degrees
Atoms (fractional coordinates):
Tb1 0.334 0.666 0.000
Tb2 0.666 0.334 0.000
Sm1 0.917 0.588 0.750
Sm2 0.755 0.755 0.251
Sm3 0.083 0.412 0.250
Sm4 0.588 0.917 0.750
Sm5 0.245 0.245 0.749
Sm6 0.412 0.083 0.250
Er1 0.167 0.833 0.500
Er2 0.833 0.167 0.500
Er3 0.500 0.500 0.500
Tl1 0.000 0.000 0.000

Calculated values
As for the space-group type: No. 12. Its calculated density is 8437 kg/m3. The total energy is -0.330 Ry per atom.

# 2
AsCSe2Br: relaxed, GGA-PBE.

Cell lengths 4.342, 4.342, 5.074 Å; angles 90.00, 90.00, 90.00 degrees
Atoms (fractional coordinates):
C1 0.000 0.000 0.000
As1 0.000 0.000 0.500
Se1 0.000 0.500 0.000
Se2 0.500 0.000 0.000
Br1 0.500 0.500 0.500

Calculated values
Its uncorrected formation energy is 1182.2 meV per atom. As for the space-group type: No. 123. Its calculated density is 5637 kg/m3. The total energy is -0.244 Ry per atom. The energy above the lowest structure with this stoichiometry is 0 meV/atom.

# 3
Ac2TbRuO6: relaxed, GGA-PBE.

Cell lengths 5.775, 6.225, 8.420 Å; angles 90.00, 90.00, 90.00 degrees
Site moments in Bohr magnetons follow the coordinates.
Atoms (fractional coordinates):
Ac1 0.500 0.796 0.222  0.00
Ac2 0.000 0.204 0.722  0.00
Ac3 0.500 0.796 0.778  0.00
Ac4 0.000 0.204 0.278  0.00
Tb1 0.000 0.711 0.500  -0.01
Tb2 0.500 0.289 0.000  -0.01
Ru1 0.500 0.219 0.500  0.79
Ru2 0.000 0.781 0.000  0.79
O1 0.500 0.208 0.257  0.03
O2 0.500 0.208 0.743  0.03
O3 0.000 0.792 0.243  0.03
O4 0.000 0.792 0.757  0.03
O5 0.250 0.987 0.500  0.03
O6 0.750 0.987 0.500  0.03
O7 0.243 0.441 0.500  0.03
O8 0.757 0.441 0.500  0.03
O9 0.743 0.559 0.000  0.03
O10 0.257 0.559 0.000  0.03
O11 0.250 0.013 0.000  0.03
O12 0.750 0.013 0.000  0.03

Calculated values
Its uncorrected formation energy is -2619.4 meV per atom. As for the space-group type: No. 59. Its calculated density is 8886 kg/m3. The total energy is -0.574 Ry per atom.

# 4
Pr8Ga3AgI4: relaxed, GGA-PBE.

Cell lengths 8.863, 9.154, 8.867 Å; angles 118.99, 119.99, 90.00 degrees
Atoms (fractional coordinates):
Pr1 0.243 0.716 0.973
Pr2 0.243 0.716 0.487
Pr3 0.263 0.288 0.526
Pr4 0.730 0.716 0.973
Pr5 0.270 0.284 0.027
Pr6 0.737 0.712 0.474
Pr7 0.757 0.284 0.513
Pr8 0.757 0.284 0.027
Ga1 0.500 0.500 0.000
Ga2 0.500 0.500 0.500
Ga3 0.000 0.500 0.500
Ag1 0.000 0.500 0.000
I1 0.500 0.000 0.000
I2 0.500 0.000 0.500
I3 0.000 0.000 0.000
I4 0.000 0.000 0.500

Calculated values
Its uncorrected formation energy is -706.4 meV per atom. As for the space-group type: No. 166. Its calculated density is 6276 kg/m3. The total energy is -0.311 Ry per atom.

# 5
Ca2TmAu4: relaxed, GGA-PBE.

Cell lengths 5.126, 5.126, 7.570 Å; angles 109.79, 109.79, 90.00 degrees
Atoms (fractional coordinates):
Ca1 0.728 0.728 0.456
Ca2 0.272 0.272 0.544
Tm1 0.000 0.000 0.000
Au1 0.388 0.888 0.776
Au2 0.888 0.388 0.776
Au3 0.612 0.112 0.224
Au4 0.112 0.612 0.224

Calculated values
As for the space-group type: No. 139. Its calculated density is 9860 kg/m3. The total energy is -0.276 Ry per atom.

# 6
AlTl3Hg: relaxed, GGA-PBE.

Cell lengths 5.471, 5.471, 5.471 Å; angles 90.00, 90.00, 90.00 degrees
Atoms (fractional coordinates):
Tl1 0.000 0.500 0.000
Tl2 0.000 0.000 0.500
Tl3 0.500 0.000 0.000
Hg1 0.500 0.500 0.500
Al1 0.000 0.000 0.000

Calculated values
As for the space-group type: No. 221. Its calculated density is 8524 kg/m3. The total energy is -0.146 Ry per atom. The energy above the lowest structure with this stoichiometry is 0 meV/atom.

# 7
Ce2Nd3HoAs6: relaxed, GGA-PBE.

Cell lengths 7.311, 7.311, 7.322 Å; angles 99.58, 99.58, 119.99 degrees
Site moments in Bohr magnetons follow the coordinates.
Atoms (fractional coordinates):
Ce1 0.333 0.667 0.000  0.51
Ce2 0.667 0.333 0.000  0.51
Nd1 0.167 0.833 0.500  0.01
Nd2 0.833 0.167 0.500  0.01
Nd3 0.500 0.500 0.500  0.01
Ho1 0.000 0.000 0.000  0.00
As1 0.920 0.588 0.759  -0.01
As2 0.749 0.749 0.243  -0.01
As3 0.080 0.412 0.241  -0.01
As4 0.588 0.920 0.759  -0.01
As5 0.251 0.251 0.757  -0.01
As6 0.412 0.080 0.241  -0.01

Calculated values
As for the space-group type: No. 12. Its calculated density is 6897 kg/m3. The total energy is -0.469 Ry per atom.

# 8
TiGa2Ni7: relaxed, GGA-PBE.

Cell lengths 3.814, 6.893, 6.893 Å; angles 123.53, 90.00, 90.00 degrees
Site moments in Bohr magnetons follow the coordinates.
Atoms (fractional coordinates):
Ti1 0.000 0.000 0.000  -0.01
Ga1 0.500 0.698 0.302  0.00
Ga2 0.500 0.302 0.698  0.00
Ni1 0.000 0.808 0.192  0.01
Ni2 0.000 0.192 0.808  0.01
Ni3 0.500 0.079 0.286  0.02
Ni4 0.500 0.921 0.714  0.02
Ni5 0.500 0.286 0.079  0.02
Ni6 0.500 0.714 0.921  0.02
Ni7 0.500 0.500 0.500  0.16

Calculated values
As for the space-group type: No. 65. Its calculated density is 6574 kg/m3. The total energy is -0.387 Ry per atom.

# 9
LiY2IrI: relaxed, GGA-PBE.

Cell lengths 5.573, 4.395, 5.573 Å; angles 90.00, 90.00, 90.00 degrees
Atoms (fractional coordinates):
I1 0.000 0.000 0.000
Y1 0.000 0.000 0.500
Y2 0.500 0.000 0.000
Ir1 0.500 0.500 0.500
Li1 0.000 0.500 0.000

Calculated values
Its uncorrected formation energy is 449.4 meV per atom. As for the space-group type: No. 123. Its calculated density is 6129 kg/m3. The total energy is -0.338 Ry per atom. The energy above the lowest structure with this stoichiometry is 0 meV/atom.